Material: Ba3In8Au3
Method: DFT, PBE
State: optimized geometry

Cell and atoms, written as extended XYZ:
```
14
Lattice="4.957 0.000 0.000 2.478 9.072 -0.478 2.478 2.010 8.860" Properties=species:S:1:pos:R:3 pbc="T T T"
Ba 4.957 5.541 4.191
Ba 4.957 1.868 1.413
Ba 4.957 9.214 6.969
In 4.957 2.238 5.854
In 4.957 8.845 2.527
In 4.957 6.243 0.559
In 4.957 4.840 7.822
In 7.435 8.412 4.420
In 2.478 2.670 3.962
In 7.435 6.543 6.891
In 2.478 4.539 1.490
Au 2.478 0.000 0.000
Au 2.478 7.328 1.828
Au 2.478 3.754 6.554
```

**Calculated volume**: 403 Å³ per cell
**Total moment**: 0.0000 μB/atom
**SG**: Immm, No. 71
**Energy relative to the elements**: -429 meV per atom
**E above lowest polymorph**: 0.5 kJ/mol of atoms